First-principles (PBE) data for a relaxed AlFeMo2 crystal, as listed in Alexandria.

Values from the calculation:
The total magnetization is 0.000 μB/atom. For the calculated volume, the calculation gives 14.18 Å³/atom. As for the symmetry: P4/mmm. As for the density of states at the Fermi level: 1.9 states/eV per cell. Its total energy is -8.50 eV per atom. Its calculated formation energy is -31.2 meV/atom.

Lattice parameters (Å, degrees): 2.749 2.749 7.507 90.00 90.00 90.00
Element x y z (fractional)
1 Al 0.000 0.000 0.000
2 Fe 0.000 0.000 0.500
3 Mo 0.500 0.500 0.270
4 Mo 0.500 0.500 0.730


First-principles (PBE) data for a relaxed AlFe3Mo crystal, as listed in Alexandria.

Values from the calculation:
The total magnetization is 0.921 μB/atom. For the calculated volume, the calculation gives 17.64 Å³/atom. As for the symmetry: Pm-3m. As for the energy above the most stable polymorph in this dataset: 155 meV/atom. As for the density of states at the Fermi level: 7.8 states/eV per cell. Its total energy is -6.58 eV per atom. Its calculated formation energy is 1411.1 meV/atom.

Lattice parameters (Å, degrees): 4.451 4.451 4.451 90.00 90.00 90.00
Element x y z (fractional)
1 Al 0.000 0.000 0.000
2 Fe 0.000 0.500 0.500
3 Fe 0.500 0.000 0.500
4 Fe 0.500 0.500 0.000
5 Mo 0.500 0.500 0.500


First-principles (PBE) data for a relaxed AlFeMo3 crystal, as listed in Alexandria.

Values from the calculation:
The total magnetization is 0.000 μB/atom. For the calculated volume, the calculation gives 17.81 Å³/atom. As for the symmetry: Pm-3m. As for the energy above the most stable polymorph in this dataset: 888 meV/atom. As for the density of states at the Fermi level: 7.7 states/eV per cell. Its total energy is -7.06 eV per atom. Its calculated formation energy is 1874.8 meV/atom.

Lattice parameters (Å, degrees): 4.466 4.466 4.466 90.00 90.00 90.00
Element x y z (fractional)
1 Al 0.000 0.000 0.000
2 Fe 0.500 0.500 0.500
3 Mo 0.000 0.000 0.500
4 Mo 0.000 0.500 0.000
5 Mo 0.500 0.000 0.000


First-principles (PBE) data for a relaxed AlFeMo2 crystal, as listed in Alexandria.

Values from the calculation:
The total magnetization is 0.511 μB/atom. For the calculated volume, the calculation gives 14.53 Å³/atom. As for the symmetry: I-4m2. As for the density of states at the Fermi level: 6.6 states/eV per cell. Its total energy is -8.44 eV per atom. Its calculated formation energy is 27.6 meV/atom.

Lattice parameters (Å, degrees): 3.802 3.802 8.040 90.00 90.00 90.00
Element x y z (fractional)
1 Al 0.000 0.000 0.000
2 Al 0.500 0.500 0.500
3 Fe 0.000 0.500 0.750
4 Fe 0.500 0.000 0.250
5 Mo 0.000 0.000 0.500
6 Mo 0.000 0.500 0.250
7 Mo 0.500 0.000 0.750
8 Mo 0.500 0.500 0.000


First-principles (PBE) data for a relaxed AlFeMo2 crystal, as listed in Alexandria.

Values from the calculation:
The total magnetization is 0.430 μB/atom. For the calculated volume, the calculation gives 14.40 Å³/atom. As for the symmetry: I4/mmm. As for the density of states at the Fermi level: 6.0 states/eV per cell. Its total energy is -8.53 eV per atom. Its calculated formation energy is -59.2 meV/atom.

Lattice parameters (Å, degrees): 3.711 3.711 8.361 90.00 90.00 90.00
Element x y z (fractional)
1 Al 0.000 0.000 0.000
2 Al 0.500 0.500 0.500
3 Fe 0.000 0.000 0.500
4 Fe 0.500 0.500 0.000
5 Mo 0.000 0.500 0.250
6 Mo 0.000 0.500 0.750
7 Mo 0.500 0.000 0.250
8 Mo 0.500 0.000 0.750


First-principles (PBE) data for a relaxed Al2Fe2Mo crystal, as listed in Alexandria.

Values from the calculation:
The total magnetization is 0.000 μB/atom. For the calculated volume, the calculation gives 13.80 Å³/atom. As for the symmetry: Cmmm. As for the energy above the most stable polymorph in this dataset: 0 meV/atom. As for the density of states at the Fermi level: 8.0 states/eV per cell. Its total energy is -7.14 eV per atom. Its calculated formation energy is -91.4 meV/atom.

Lattice parameters (Å, degrees): 2.760 17.417 2.870 90.00 90.00 90.00
Element x y z (fractional)
1 Al 0.000 0.178 0.000
2 Al 0.000 0.822 0.000
3 Al 0.500 0.322 0.000
4 Al 0.500 0.678 0.000
5 Fe 0.000 0.407 0.500
6 Fe 0.000 0.593 0.500
7 Fe 0.500 0.093 0.500
8 Fe 0.500 0.907 0.500
9 Mo 0.000 0.000 0.000
10 Mo 0.500 0.500 0.000